1.
The following is a PBE calculation of Cs2TaNbIn after structural relaxation, from Alexandria.

Geometry as CIF:
```
data_Cs2TaNbIn
_chemical_formula_sum 'Cs2 Ta1 Nb1 In1'
_space_group_name_H-M_alt 'P 4/m m m'
_space_group_IT_number 123
_space_group_name_Hall '-P 4 2'
_cell_length_a 6.598
_cell_length_b 6.598
_cell_length_c 5.548
_cell_angle_alpha 90.00
_cell_angle_beta 90.00
_cell_angle_gamma 90.00
loop_
_atom_site_label
_atom_site_type_symbol
_atom_site_fract_x
_atom_site_fract_y
_atom_site_fract_z
Cs1 Cs 0.000 0.500 0.000
Ta1 Ta 0.000 0.000 0.500
Nb1 Nb 0.500 0.500 0.000
In1 In 0.500 0.500 0.500
```

## Properties
- Total magnetic moment: 7.44 μB/cell
- Energy of formation from the pure elements: 1028 kJ/mol of formula units



2.
The following is a PBE calculation of ScGeCSe2 after structural relaxation, from Alexandria.

Geometry as CIF:
```
data_ScGeCSe2
_chemical_formula_sum 'Sc1 Ge1 C1 Se2'
_space_group_name_H-M_alt 'P 4/m m m'
_space_group_IT_number 123
_space_group_name_Hall '-P 4 2'
_cell_length_a 4.951
_cell_length_b 4.951
_cell_length_c 5.189
_cell_angle_alpha 90.00
_cell_angle_beta 90.00
_cell_angle_gamma 90.00
loop_
_atom_site_label
_atom_site_type_symbol
_atom_site_fract_x
_atom_site_fract_y
_atom_site_fract_z
Sc1 Sc 0.000 0.000 0.000
Ge1 Ge 0.000 0.000 0.500
C1 C 0.500 0.500 0.000
Se1 Se 0.000 0.500 0.500
```

## Properties
- Total magnetic moment: 2.16 μB/cell
- Raw formation energy: 1.448 eV per atom



3.
The following is a PBE calculation of Nd3Er5Sc3 after structural relaxation, from Alexandria.

Geometry as CIF:
```
data_Nd3Er5Sc3
_chemical_formula_sum 'Nd3 Er5 Sc3'
_space_group_name_H-M_alt 'P -6 2 m'
_space_group_IT_number 189
_space_group_name_Hall 'P -6 -2'
_cell_length_a 10.8672
_cell_length_b 10.8672
_cell_length_c 3.3796
_cell_angle_alpha 90.00
_cell_angle_beta 90.00
_cell_angle_gamma 120.00
loop_
_atom_site_label
_atom_site_type_symbol
_atom_site_fract_x
_atom_site_fract_y
_atom_site_fract_z
Nd1 Nd 0.0000 0.6568 0.0000
Er1 Er 0.0000 0.1660 0.0000
Er2 Er 0.3333 0.6667 0.0000
Sc1 Sc 0.0000 0.4088 0.5000
```

## Properties
- Total magnetic moment: 0.00 μB/cell
- Energy of formation from the pure elements: 374 kJ/mol of formula units



4.
The following is a PBE calculation of Ce2Al4CdAu3 after structural relaxation, from Alexandria.

Geometry as CIF:
```
data_Ce2Al4CdAu3
_chemical_formula_sum 'Ce2 Al4 Cd1 Au3'
_space_group_name_H-M_alt 'P -4 m 2'
_space_group_IT_number 115
_space_group_name_Hall 'P -4 -2'
_cell_length_a 4.391
_cell_length_b 4.391
_cell_length_c 10.808
_cell_angle_alpha 90.00
_cell_angle_beta 90.00
_cell_angle_gamma 90.00
loop_
_atom_site_label
_atom_site_type_symbol
_atom_site_fract_x
_atom_site_fract_y
_atom_site_fract_z
Ce1 Ce 0.000 0.500 0.246
Al1 Al 0.000 0.000 0.000
Al2 Al 0.000 0.500 0.643
Al3 Al 0.500 0.500 0.000
Cd1 Cd 0.000 0.000 0.500
Au1 Au 0.000 0.500 0.873
Au2 Au 0.500 0.500 0.500
```

## Properties
- Total magnetic moment: 1.43 μB/cell
- Energy of formation from the pure elements: -569 kJ/mol of formula units



5.
The following is a PBE calculation of Ba4I2O3 after structural relaxation, from Alexandria.

Geometry as CIF:
```
data_Ba4I2O3
_chemical_formula_sum 'Ba16 I8 O12'
_space_group_name_H-M_alt 'C m c e'
_space_group_IT_number 64
_space_group_name_Hall '-C 2ac 2'
_cell_length_a 7.520
_cell_length_b 17.796
_cell_length_c 7.736
_cell_angle_alpha 90.00
_cell_angle_beta 90.00
_cell_angle_gamma 90.00
loop_
_atom_site_label
_atom_site_type_symbol
_atom_site_fract_x
_atom_site_fract_y
_atom_site_fract_z
Ba1 Ba 0.000 0.227 0.068
Ba2 Ba 0.250 0.057 0.750
I1 I 0.000 0.099 0.390
O1 O 0.000 0.000 0.000
O2 O 0.250 0.207 0.750
```

## Properties
- Total magnetic moment: 0.24 μB/cell
- Raw formation energy: -2.064 eV per atom



6.
The following is a PBE calculation of LiSi2W after structural relaxation, from Alexandria.

Geometry as CIF:
```
data_LiSi2W
_chemical_formula_sum 'Li3 Si6 W3'
_space_group_name_H-M_alt 'R -3 m'
_space_group_IT_number 166
_space_group_name_Hall '-R 3 2"'
_cell_length_a 2.9414
_cell_length_b 2.9414
_cell_length_c 24.8244
_cell_angle_alpha 90.00
_cell_angle_beta 90.00
_cell_angle_gamma 120.00
loop_
_atom_site_label
_atom_site_type_symbol
_atom_site_fract_x
_atom_site_fract_y
_atom_site_fract_z
Li1 Li 0.0000 0.0000 0.0000
Si1 Si 0.0000 0.0000 0.2460
W1 W 0.0000 0.0000 0.5000
```

## Properties
- Total magnetic moment: 0.01 μB/cell
- Distance to the lowest polymorph of the same formula: 77 meV per atom
- Raw formation energy: 0.018 eV per atom



7.
The following is a PBE calculation of BaAcBiBr after structural relaxation, from Alexandria.

Geometry as CIF:
```
data_BaAcBiBr
_chemical_formula_sum 'Ba4 Ac4 Bi4 Br4'
_space_group_name_H-M_alt 'F -4 3 m'
_space_group_IT_number 216
_space_group_name_Hall 'F -4 2 3'
_cell_length_a 8.291
_cell_length_b 8.291
_cell_length_c 8.291
_cell_angle_alpha 90.00
_cell_angle_beta 90.00
_cell_angle_gamma 90.00
loop_
_atom_site_label
_atom_site_type_symbol
_atom_site_fract_x
_atom_site_fract_y
_atom_site_fract_z
Ba1 Ba 0.000 0.000 0.000
Ac1 Ac 0.000 0.000 0.500
Bi1 Bi 0.250 0.250 0.250
Br1 Br 0.250 0.250 0.750
```

## Properties
- Total magnetic moment: 0.07 μB/cell
- Distance to the lowest polymorph of the same formula: 83 meV per atom
- Raw formation energy: -1.136 eV per atom



8.
The following is a PBE calculation of NaAlIO2 after structural relaxation, from Alexandria.

Geometry as CIF:
```
data_NaAlIO2
_chemical_formula_sum 'Na1 Al1 I1 O2'
_space_group_name_H-M_alt 'P 4/m m m'
_space_group_IT_number 123
_space_group_name_Hall '-P 4 2'
_cell_length_a 3.834
_cell_length_b 3.834
_cell_length_c 6.117
_cell_angle_alpha 90.00
_cell_angle_beta 90.00
_cell_angle_gamma 90.00
loop_
_atom_site_label
_atom_site_type_symbol
_atom_site_fract_x
_atom_site_fract_y
_atom_site_fract_z
Na1 Na 0.000 0.000 0.000
Al1 Al 0.500 0.500 0.500
I1 I 0.500 0.500 0.000
O1 O 0.000 0.500 0.500
```

## Properties
- Total magnetic moment: 1.02 μB/cell
- Distance to the lowest polymorph of the same formula: 0 meV per atom
- Raw formation energy: -1.256 eV per atom



9.
The following is a PBE calculation of Sr2Ac15Pm2 after structural relaxation, from Alexandria.

Geometry as CIF:
```
data_Sr2Ac15Pm2
_chemical_formula_sum 'Sr6 Ac45 Pm6'
_space_group_name_H-M_alt 'R -3 m'
_space_group_IT_number 166
_space_group_name_Hall '-R 3 2"'
_cell_length_a 12.7611
_cell_length_b 12.7611
_cell_length_c 19.1928
_cell_angle_alpha 90.00
_cell_angle_beta 90.00
_cell_angle_gamma 120.00
loop_
_atom_site_label
_atom_site_type_symbol
_atom_site_fract_x
_atom_site_fract_y
_atom_site_fract_z
Sr1 Sr 0.0000 0.0000 0.1674
Ac1 Ac 0.0000 0.2931 0.5000
Ac2 Ac 0.0000 0.5000 0.0000
Ac3 Ac 0.0012 0.5006 0.6447
Pm1 Pm 0.0000 0.0000 0.4082
```

## Properties
- Total magnetic moment: 0.00 μB/cell
- Energy of formation from the pure elements: 423 kJ/mol of formula units



10.
The following is a PBE calculation of Mn3Ni2C after structural relaxation, from Alexandria.

Geometry as CIF:
```
data_Mn3Ni2C
_chemical_formula_sum 'Mn12 Ni8 C4'
_space_group_name_H-M_alt 'P 41 3 2'
_space_group_IT_number 213
_space_group_name_Hall 'P 4bd 2ab 3'
_cell_length_a 6.360
_cell_length_b 6.360
_cell_length_c 6.360
_cell_angle_alpha 90.00
_cell_angle_beta 90.00
_cell_angle_gamma 90.00
loop_
_atom_site_label
_atom_site_type_symbol
_atom_site_fract_x
_atom_site_fract_y
_atom_site_fract_z
Mn1 Mn 0.046 0.125 0.796
Ni1 Ni 0.068 0.932 0.432
C1 C 0.125 0.375 0.625
```

## Properties
- Total magnetic moment: 35.14 μB/cell
- Energy of formation from the pure elements: 22 kJ/mol of formula units



11.
The following is a PBE calculation of PmAlAu3 after structural relaxation, from Alexandria.

Geometry as CIF:
```
data_PmAlAu3
_chemical_formula_sum 'Pm4 Al4 Au12'
_space_group_name_H-M_alt 'C 1 2/m 1'
_space_group_IT_number 12
_space_group_name_Hall '-C 2y'
_cell_length_a 18.155
_cell_length_b 4.357
_cell_length_c 5.405
_cell_angle_alpha 90.00
_cell_angle_beta 105.60
_cell_angle_gamma 90.00
loop_
_atom_site_label
_atom_site_type_symbol
_atom_site_fract_x
_atom_site_fract_y
_atom_site_fract_z
Pm1 Pm 0.076 0.000 0.319
Al1 Al 0.196 0.500 0.129
Au1 Au 0.046 0.500 0.774
Au2 Au 0.158 0.000 0.884
Au3 Au 0.212 0.500 0.609
```

## Properties
- Total magnetic moment: 0.00 μB/cell
- Energy of formation from the pure elements: -301 kJ/mol of formula units
- Distance to the lowest polymorph of the same formula: 25 meV per atom



12.
The following is a PBE calculation of VSi2W after structural relaxation, from Alexandria.

Geometry as CIF:
```
data_VSi2W
_chemical_formula_sum 'V4 Si8 W4'
_space_group_name_H-M_alt 'F m -3 m'
_space_group_IT_number 225
_space_group_name_Hall '-F 4 2 3'
_cell_length_a 6.043
_cell_length_b 6.043
_cell_length_c 6.043
_cell_angle_alpha 90.00
_cell_angle_beta 90.00
_cell_angle_gamma 90.00
loop_
_atom_site_label
_atom_site_type_symbol
_atom_site_fract_x
_atom_site_fract_y
_atom_site_fract_z
V1 V 0.000 0.000 0.000
Si1 Si 0.250 0.250 0.250
W1 W 0.000 0.000 0.500
```

## Properties
- Total magnetic moment: 0.01 μB/cell
- Distance to the lowest polymorph of the same formula: 10 meV per atom
- Raw formation energy: -0.011 eV per atom



Q: Look up the total magnetic moment of the fifth one.
A: 0.24 μB/cell



Copy entry 6 word for word.
The following is a PBE calculation of LiSi2W after structural relaxation, from Alexandria.

Geometry as CIF:
```
data_LiSi2W
_chemical_formula_sum 'Li3 Si6 W3'
_space_group_name_H-M_alt 'R -3 m'
_space_group_IT_number 166
_space_group_name_Hall '-R 3 2"'
_cell_length_a 2.9414
_cell_length_b 2.9414
_cell_length_c 24.8244
_cell_angle_alpha 90.00
_cell_angle_beta 90.00
_cell_angle_gamma 120.00
loop_
_atom_site_label
_atom_site_type_symbol
_atom_site_fract_x
_atom_site_fract_y
_atom_site_fract_z
Li1 Li 0.0000 0.0000 0.0000
Si1 Si 0.0000 0.0000 0.2460
W1 W 0.0000 0.0000 0.5000
```

## Properties
- Total magnetic moment: 0.01 μB/cell
- Distance to the lowest polymorph of the same formula: 77 meV per atom
- Raw formation energy: 0.018 eV per atom



Q: The highest total magnetic moment belongs to which entry?
A: Mn3Ni2C